Compound: Tl2OsSeS
Source: the Alexandria database
Functional: PBEsol
Structure: optimized geometry

Summary:
- Formation energy (no corrections): 779 meV/atom

a = 5.6121 Å, b = 5.6121 Å, c = 4.2280 Å
α = 90.00°, β = 90.00°, γ = 90.00°
Last column: nearest neighbours and their distance in Å.
Space group P4/mmm (No. 123)
Unique sites:
Tl: 0.0000 0.5000 0.0000 x2  2 S 2.81
Os: 0.0000 0.0000 0.5000 x1  2 S 2.11
Se: 0.5000 0.5000 0.5000 x1  8 Tl 3.51
S: 0.0000 0.0000 0.0000 x1  2 Os 2.11

Compound: YOsSeS2
Source: the Alexandria database
Functional: PBEsol
Structure: optimized geometry

Summary:
- Formation energy (no corrections): 1034 meV/atom

a = 4.6589 Å, b = 4.6589 Å, c = 5.3108 Å
α = 90.00°, β = 90.00°, γ = 90.00°
Last column: nearest neighbours and their distance in Å.
Space group P4/mmm (No. 123)
Unique sites:
Y: 0.0000 0.0000 0.0000 x1  2 Se 2.66
Os: 0.5000 0.5000 0.0000 x1  4 Y 3.29, 8 S 3.53
Se: 0.0000 0.0000 0.5000 x1  4 S 2.33
S: 0.0000 0.5000 0.5000 x2  2 Se 2.33

Compound: SiTeOsS2
Source: the Alexandria database
Functional: PBEsol
Structure: optimized geometry

Summary:
- Formation energy (no corrections): 1138 meV/atom

a = 4.2804 Å, b = 4.2804 Å, c = 5.3427 Å
α = 90.00°, β = 90.00°, γ = 90.00°
Last column: nearest neighbours and their distance in Å.
Space group P4/mmm (No. 123)
Unique sites:
Si: 0.0000 0.0000 0.0000 x1  4 S 2.14
Te: 0.0000 0.0000 0.5000 x1  2 Si 2.67
Os: 0.5000 0.5000 0.5000 x1  4 Te 3.03
S: 0.0000 0.5000 0.0000 x2  2 Si 2.14

Compound: Sn3OsS
Source: the Alexandria database
Functional: PBEsol
Structure: optimized geometry

Summary:
- Formation energy (no corrections): 1276 meV/atom

a = 4.9167 Å, b = 4.9167 Å, c = 4.9167 Å
α = 90.00°, β = 90.00°, γ = 90.00°
Last column: nearest neighbours and their distance in Å.
Space group Pm-3m (No. 221)
Unique sites:
Sn: 0.0000 0.0000 0.5000 x3  2 S 2.46
Os: 0.5000 0.5000 0.5000 x1  12 Sn 3.48
S: 0.0000 0.0000 0.0000 x1  6 Sn 2.46

Compound: TcOsS2
Source: the Alexandria database
Functional: PBEsol
Structure: optimized geometry

Summary:
- Formation energy (no corrections): -85 meV/atom

a = 2.9249 Å, b = 2.9249 Å, c = 23.2491 Å
α = 90.00°, β = 90.00°, γ = 120.00°
Last column: nearest neighbours and their distance in Å.
Space group R-3m (No. 166, hexagonal axes)
Unique sites:
Tc: 0.0000 0.0000 0.0000 x3  6 S 2.37
Os: 0.0000 0.0000 0.5000 x3  2 S 2.21
S: 0.0000 0.0000 0.4050 x6  1 Os 2.21, 3 Tc 2.37

Compound: Te2OsS
Source: the Alexandria database
Functional: PBEsol
Structure: optimized geometry

Summary:
- Formation energy (no corrections): 573 meV/atom

a = 6.8154 Å, b = 6.8154 Å, c = 8.8277 Å
α = 90.00°, β = 90.00°, γ = 90.00°
Last column: nearest neighbours and their distance in Å.
Space group I-42d (No. 122)
Unique sites:
Te: 0.2158 0.2500 0.1250 x8  2 Os 2.51, 2 S 2.81
Os: 0.0000 0.0000 0.0000 x4  4 Te 2.51
S: 0.0000 0.0000 0.5000 x4  4 Te 2.81

Compound: TeOsS2
Source: the Alexandria database
Functional: PBEsol
Structure: optimized geometry

Summary:
- Formation energy (no corrections): -17 meV/atom

a = 3.5540 Å, b = 3.5540 Å, c = 22.9842 Å
α = 90.00°, β = 90.00°, γ = 120.00°
Last column: nearest neighbours and their distance in Å.
Space group R-3m (No. 166, hexagonal axes)
Unique sites:
Te: 0.0000 0.0000 0.0000 x3  2 S 2.69
Os: 0.0000 0.0000 0.5000 x3  6 S 2.35
S: 0.0000 0.0000 0.1168 x6  3 Os 2.35

Compound: ZnTeOsS2
Source: the Alexandria database
Functional: PBEsol
Structure: optimized geometry

Summary:
- Formation energy (no corrections): 1763 meV/atom

a = 4.9432 Å, b = 4.9432 Å, c = 4.9834 Å
α = 90.00°, β = 90.00°, γ = 90.00°
Last column: nearest neighbours and their distance in Å.
Space group P4/mmm (No. 123)
Unique sites:
Zn: 0.0000 0.0000 0.0000 x1  2 Te 2.49
Te: 0.0000 0.0000 0.5000 x1  4 S 2.47, 2 Zn 2.49
Os: 0.5000 0.5000 0.0000 x1  4 Zn 3.50, 8 S 3.51
S: 0.0000 0.5000 0.5000 x2  2 Te 2.47

Compound: TlOsS3
Source: the Alexandria database
Functional: PBEsol
Structure: optimized geometry

Summary:
- Formation energy (no corrections): 217 meV/atom

a = 4.6542 Å, b = 4.6542 Å, c = 4.6542 Å
α = 90.00°, β = 90.00°, γ = 90.00°
Last column: nearest neighbours and their distance in Å.
Space group Pm-3m (No. 221)
Unique sites:
Tl: 0.0000 0.0000 0.0000 x1  12 S 3.29
Os: 0.5000 0.5000 0.5000 x1  6 S 2.33
S: 0.0000 0.5000 0.5000 x3  2 Os 2.33

Compound: TlOsS2
Source: the Alexandria database
Functional: PBEsol
Structure: optimized geometry

Summary:
- Formation energy (no corrections): -81 meV/atom

a = 3.5296 Å, b = 3.5296 Å, c = 24.4616 Å
α = 90.00°, β = 90.00°, γ = 120.00°
Last column: nearest neighbours and their distance in Å.
Space group R-3m (No. 166, hexagonal axes)
Unique sites:
Tl: 0.0000 0.0000 0.0000 x3  2 S 2.90
Os: 0.0000 0.0000 0.5000 x3  6 S 2.35
S: 0.0000 0.0000 0.1187 x6  3 Os 2.35

Compound: OsWS2
Source: the Alexandria database
Functional: PBEsol
Structure: optimized geometry

Summary:
- Formation energy (no corrections): 367 meV/atom

a = 2.9950 Å, b = 2.9950 Å, c = 23.6911 Å
α = 90.00°, β = 90.00°, γ = 120.00°
Last column: nearest neighbours and their distance in Å.
Space group R-3m (No. 166, hexagonal axes)
Unique sites:
Os: 0.0000 0.0000 0.0000 x3  6 S 2.39
W: 0.0000 0.0000 0.5000 x3  2 S 2.30
S: 0.0000 0.0000 0.4030 x6  1 W 2.30, 3 Os 2.39

Compound: Os3WS
Source: the Alexandria database
Functional: PBEsol
Structure: optimized geometry

Summary:
- Formation energy (no corrections): 1372 meV/atom

a = 4.2762 Å, b = 4.2762 Å, c = 4.2762 Å
α = 90.00°, β = 90.00°, γ = 90.00°
Last column: nearest neighbours and their distance in Å.
Space group Pm-3m (No. 221)
Unique sites:
Os: 0.0000 0.0000 0.5000 x3  2 S 2.14
W: 0.5000 0.5000 0.5000 x1  12 Os 3.02
S: 0.0000 0.0000 0.0000 x1  6 Os 2.14

Compound: Sb2Os
Source: the Alexandria database
Functional: PBEsol
Structure: optimized geometry

Summary:
- Formation energy (no corrections): -43 meV/atom

a = 5.9548 Å, b = 6.6815 Å, c = 3.2024 Å
α = 90.00°, β = 90.00°, γ = 90.00°
Last column: nearest neighbours and their distance in Å.
Space group Pnnm (No. 58)
Unique sites:
Sb: 0.1814 0.1426 0.0000 x4  3 Os 2.62-2.66, 1 Sb 2.88
Os: 0.0000 0.5000 0.0000 x2  6 Sb 2.62-2.66

Compound: Sb2Os
Source: the Alexandria database
Functional: PBEsol
Structure: optimized geometry

Summary:
- Formation energy (no corrections): 352 meV/atom

a = 7.3578 Å, b = 7.3578 Å, c = 3.8332 Å
α = 90.00°, β = 90.00°, γ = 120.00°
Last column: nearest neighbours and their distance in Å.
Space group P-62m (No. 189)
Unique sites:
Sb: 0.0000 0.2643 0.0000 x3  4 Os 2.73-2.74
Sb: 0.0000 0.5975 0.5000 x3  5 Os 2.95-2.96, 6 Sb 3.11-3.24
Os: 0.0000 0.0000 0.5000 x1  9 Sb 2.73-2.96
Os: 0.3333 0.6667 0.0000 x2  9 Sb 2.74-2.95

Compound: ScSb4Os
Source: the Alexandria database
Functional: PBEsol
Structure: optimized geometry

Summary:
- Formation energy (no corrections): 901 meV/atom

a = 8.3314 Å, b = 8.3314 Å, c = 8.3314 Å
α = 90.00°, β = 90.00°, γ = 90.00°
Last column: nearest neighbours and their distance in Å.
Space group F-43m (No. 216)
Unique sites:
Sc: 0.0000 0.0000 0.0000 x4  12 Sb 3.46, 4 Os 3.61
Sb: 0.1246 0.1246 0.6246 x16  6 Sb 2.94-2.95
Os: 0.2500 0.2500 0.2500 x4  12 Sb 3.45, 4 Sc 3.61

Compound: ScSb2Os
Source: the Alexandria database
Functional: PBEsol
Structure: optimized geometry

Summary:
- Formation energy (no corrections): -8 meV/atom
- Polymorph energy (0 for the lowest one): 7.72 kJ per mole of atoms

a = 4.1331 Å, b = 4.1331 Å, c = 9.0148 Å
α = 90.00°, β = 90.00°, γ = 90.00°
Last column: nearest neighbours and their distance in Å.
Space group I-4m2 (No. 119)
Unique sites:
Sc: 0.0000 0.0000 0.0000 x2  8 Sb 2.92-3.06, 4 Os 3.06
Sb: 0.0000 0.0000 0.5000 x2  4 Sc 2.92, 4 Sb 3.06, 4 Os 3.06
Sb: 0.0000 0.5000 0.7500 x2  4 Os 2.92, 4 Sb 3.06, 4 Sc 3.06
Os: 0.0000 0.5000 0.2500 x2  8 Sb 2.92-3.06, 4 Sc 3.06

Compound: Sc4SbOs
Source: the Alexandria database
Functional: PBEsol
Structure: optimized geometry

Summary:
- Formation energy (no corrections): 297 meV/atom

a = 7.7469 Å, b = 7.7469 Å, c = 7.7469 Å
α = 90.00°, β = 90.00°, γ = 90.00°
Last column: nearest neighbours and their distance in Å.
Space group F-43m (No. 216)
Unique sites:
Sc: 0.1231 0.1231 0.3769 x16  6 Sc 2.70-2.78
Sb: 0.0000 0.0000 0.0000 x4  12 Sc 3.22, 4 Os 3.35
Os: 0.2500 0.2500 0.7500 x4  12 Sc 3.21, 4 Sb 3.35

Compound: ScSb2Os
Source: the Alexandria database
Functional: PBEsol
Structure: optimized geometry

Summary:
- Formation energy (no corrections): -26 meV/atom
- Polymorph energy (0 for the lowest one): 5.97 kJ per mole of atoms

a = 6.7267 Å, b = 6.7267 Å, c = 6.7267 Å
α = 90.00°, β = 90.00°, γ = 90.00°
Last column: nearest neighbours and their distance in Å.
Space group Fm-3m (No. 225)
Unique sites:
Sc: 0.0000 0.0000 0.0000 x4  8 Sb 2.91
Sb: 0.2500 0.2500 0.2500 x8  4 Os 2.91, 4 Sc 2.91
Os: 0.0000 0.0000 0.5000 x4  8 Sb 2.91

Compound: ScSb2Os
Source: the Alexandria database
Functional: PBEsol
Structure: optimized geometry

Summary:
- Formation energy (no corrections): -88 meV/atom
- Polymorph energy (0 for the lowest one): 0.00 kJ per mole of atoms

a = 8.1472 Å, b = 3.2678 Å, c = 6.1890 Å
α = 90.00°, β = 101.53°, γ = 90.00°
Last column: nearest neighbours and their distance in Å.
Space group C2/m (No. 12)
Unique sites:
Sc: 0.0000 0.0000 0.0000 x2  6 Sb 2.88-2.94
Sb: 0.2426 0.0000 0.7189 x4  3 Os 2.71, 3 Sc 2.88-2.94
Os: 0.0000 0.5000 0.5000 x2  6 Sb 2.71

Compound: SbOsSe
Source: the Alexandria database
Functional: PBEsol
Structure: optimized geometry

Summary:
- Formation energy (no corrections): 513 meV/atom

a = 4.4145 Å, b = 4.4145 Å, c = 3.2384 Å
α = 90.00°, β = 90.00°, γ = 120.00°
Last column: nearest neighbours and their distance in Å.
Space group P-6m2 (No. 187)
Unique sites:
Sb: 0.0000 0.0000 0.0000 x1  6 Os 3.02, 6 Se 3.02, 2 Sb 3.24
Os: 0.3333 0.6667 0.5000 x1  3 Se 2.55
Se: 0.6667 0.3333 0.5000 x1  3 Os 2.55

Compound: Sb3OsSe
Source: the Alexandria database
Functional: PBEsol
Structure: optimized geometry

Summary:
- Formation energy (no corrections): 1687 meV/atom

a = 5.1064 Å, b = 5.1064 Å, c = 5.1064 Å
α = 90.00°, β = 90.00°, γ = 90.00°
Last column: nearest neighbours and their distance in Å.
Space group Pm-3m (No. 221)
Unique sites:
Sb: 0.0000 0.0000 0.5000 x3  2 Se 2.55
Os: 0.5000 0.5000 0.5000 x1  12 Sb 3.61
Se: 0.0000 0.0000 0.0000 x1  6 Sb 2.55

Compound: Sb2OsSe
Source: the Alexandria database
Functional: PBEsol
Structure: optimized geometry

Summary:
- Formation energy (no corrections): 297 meV/atom

a = 3.0441 Å, b = 3.0441 Å, c = 9.2031 Å
α = 90.00°, β = 90.00°, γ = 90.00°
Last column: nearest neighbours and their distance in Å.
Space group P4mm (No. 99)
Unique sites:
Sb: 0.0000 0.0000 0.0000 x1  4 Os 2.92, 4 Sb 3.04
Sb: 0.5000 0.5000 0.3149 x1  4 Sb 3.04
Os: 0.5000 0.5000 0.7863 x1  4 Se 2.58
Se: 0.0000 0.0000 0.6313 x1  4 Os 2.58

Compound: SbOsSe4
Source: the Alexandria database
Functional: PBEsol
Structure: optimized geometry

Summary:
- Formation energy (no corrections): 1250 meV/atom

a = 7.7926 Å, b = 7.7926 Å, c = 7.7926 Å
α = 90.00°, β = 90.00°, γ = 90.00°
Last column: nearest neighbours and their distance in Å.
Space group F-43m (No. 216)
Unique sites:
Sb: 0.0000 0.0000 0.0000 x4  12 Se 3.24, 4 Os 3.37
Os: 0.2500 0.2500 0.2500 x4  12 Se 3.23, 4 Sb 3.37
Se: 0.1229 0.1229 0.6229 x16  6 Se 2.71-2.80

Compound: SbOsSe2
Source: the Alexandria database
Functional: PBEsol
Structure: optimized geometry

Summary:
- Formation energy (no corrections): 398 meV/atom

a = 3.0093 Å, b = 4.6488 Å, c = 6.1993 Å
α = 90.00°, β = 102.32°, γ = 90.00°
Last column: nearest neighbours and their distance in Å.
Space group Pm (No. 6)
Unique sites:
Sb: 0.0000 0.0000 0.0000 x1  1 Se 2.70, 2 Os 2.96, 2 Sb 3.01
Os: 0.1348 0.5000 0.3014 x1  4 Se 2.47-2.48
Se: 0.2015 0.0000 0.4463 x1  2 Os 2.48, 1 Sb 2.70
Se: 0.7770 0.5000 0.6253 x1  2 Os 2.47

Compound: Sb2OsSe
Source: the Alexandria database
Functional: PBEsol
Structure: optimized geometry

Summary:
- Formation energy (no corrections): 636 meV/atom

a = 6.2259 Å, b = 7.6302 Å, c = 3.2921 Å
α = 90.00°, β = 90.00°, γ = 90.00°
Last column: nearest neighbours and their distance in Å.
Space group Cmmm (No. 65)
Unique sites:
Sb: 0.2500 0.2500 0.0000 x4  4 Se 2.96, 4 Os 2.96, 4 Sb 3.11-3.29
Os: 0.0000 0.0000 0.5000 x2  8 Sb 2.96, 2 Se 3.11, 2 Os 3.29
Se: 0.0000 0.5000 0.5000 x2  8 Sb 2.96, 2 Os 3.11, 2 Se 3.29

Compound: Sb2OsSe
Source: the Alexandria database
Functional: PBEsol
Structure: optimized geometry

Summary:
- Formation energy (no corrections): 590 meV/atom

a = 4.4776 Å, b = 4.4776 Å, c = 7.7759 Å
α = 90.00°, β = 90.00°, γ = 90.00°
Last column: nearest neighbours and their distance in Å.
Space group I4/mmm (No. 139)
Unique sites:
Sb: 0.0000 0.5000 0.2500 x4  4 Se 2.97, 4 Os 2.97, 4 Sb 3.17
Os: 0.0000 0.0000 0.0000 x2  8 Sb 2.97, 4 Se 3.17
Se: 0.0000 0.0000 0.5000 x2  8 Sb 2.97, 4 Os 3.17

Compound: Sb2OsSe
Source: the Alexandria database
Functional: PBEsol
Structure: optimized geometry

Summary:
- Formation energy (no corrections): 530 meV/atom

a = 3.2427 Å, b = 5.0694 Å, c = 10.0983 Å
α = 90.00°, β = 90.00°, γ = 90.00°
Last column: nearest neighbours and their distance in Å.
Space group Cmmm (No. 65)
Unique sites:
Sb: 0.0000 0.0000 0.2160 x4  2 Os 2.72, 4 Sb 3.01
Os: 0.0000 0.5000 0.0000 x2  4 Sb 2.72, 4 Os 3.01
Se: 0.0000 0.5000 0.5000 x2  6 Se 3.01-3.24, 4 Sb 3.29

Compound: SbTe2OsSe
Source: the Alexandria database
Functional: PBEsol
Structure: optimized geometry

Summary:
- Formation energy (no corrections): 709 meV/atom

a = 5.1391 Å, b = 5.1391 Å, c = 5.0872 Å
α = 90.00°, β = 90.00°, γ = 90.00°
Last column: nearest neighbours and their distance in Å.
Space group P4/mmm (No. 123)
Unique sites:
Sb: 0.0000 0.0000 0.0000 x1  2 Os 2.54
Te: 0.0000 0.5000 0.5000 x2  2 Os 2.57
Os: 0.0000 0.0000 0.5000 x1  2 Sb 2.54, 4 Te 2.57
Se: 0.5000 0.5000 0.0000 x1  8 Te 3.62, 4 Sb 3.63